(1)
Here is a relaxed NaBeSnAu crystal from the Open Quantum Materials Database. Energies are from GGA-PBE.

Computed properties:
ΔE to the lowest computed polymorph (meV per atom): 2

a = 6.6165 Å, b = 6.6165 Å, c = 6.6165 Å
α = 90.00°, β = 90.00°, γ = 90.00°
Closest atoms and distances in Å follow each position.
Space group F-43m (No. 216)
One atom of each set of equivalent atoms:
Na: 0.0000 0.0000 0.0000  4 Sn 2.87, 4 Au 2.87
Be: 0.0000 0.0000 0.5000  4 Au 2.87, 4 Sn 2.87
Sn: 0.2500 0.2500 0.2500  4 Na 2.87, 4 Be 2.87
Au: 0.2500 0.2500 0.7500  4 Na 2.87, 4 Be 2.87

***

(2)
Here is a relaxed NaSmGe crystal from the Open Quantum Materials Database. Energies are from GGA-PBE.

Computed properties:
Magnetic moment (μB/f.u.): 0.00

a = 6.9744 Å, b = 6.9744 Å, c = 6.9744 Å
α = 90.00°, β = 90.00°, γ = 90.00°
Closest atoms and distances in Å follow each position.
Space group F-43m (No. 216)
One atom of each set of equivalent atoms:
Na: 0.0000 0.0000 0.0000  4 Ge 3.02
Sm: 0.0000 0.0000 0.5000  4 Ge 3.02
Ge: 0.2500 0.2500 0.2500  4 Sm 3.02, 4 Na 3.02

***

(3)
Here is a relaxed LaPrNO crystal from the Open Quantum Materials Database. Energies are from GGA-PBE.

Computed properties:
Magnetic moment (μB/f.u.): 0.00
ΔE to the lowest computed polymorph (meV per atom): 0

a = 7.1596 Å, b = 8.4936 Å, c = 5.2694 Å
α = 90.00°, β = 90.00°, γ = 90.00°
Closest atoms and distances in Å follow each position.
Space group Pca2_1 (No. 29)
One atom of each set of equivalent atoms:
La: 0.0831 0.1281 0.0000  4 N 2.43-2.64, 1 O 2.43
Pr: 0.0768 0.6216 0.0011  4 O 2.37-2.64, 1 N 2.38
N: 0.0700 0.1269 0.4997  1 Pr 2.38, 4 La 2.43-2.64
O: 0.0928 0.6274 0.5011  4 Pr 2.37-2.64, 1 La 2.43

***

(4)
Here is a relaxed BiMo2 crystal from the Open Quantum Materials Database. Energies are from GGA-PBE.

Computed properties:
Magnetic moment (μB/f.u.): 9.00
ΔE to the lowest computed polymorph (meV per atom): 2503

a = 12.9504 Å, b = 12.9504 Å, c = 12.9504 Å
α = 90.00°, β = 90.00°, γ = 90.00°
Closest atoms and distances in Å follow each position.
Space group Fd-3m (No. 227, origin choice 2)
One atom of each set of equivalent atoms:
Bi: 0.1250 0.1250 0.1250  4 Mo 2.80
Mo: 0.0000 0.0000 0.0000  2 Bi 2.80

***

(5)
Here is a relaxed LuTlCuOs crystal from the Open Quantum Materials Database. Energies are from GGA-PBE.

Computed properties:
Magnetic moment (μB/f.u.): 0.01
ΔE to the lowest computed polymorph (meV per atom): 0

a = 6.6535 Å, b = 6.6535 Å, c = 6.6535 Å
α = 90.00°, β = 90.00°, γ = 90.00°
Closest atoms and distances in Å follow each position.
Space group F-43m (No. 216)
One atom of each set of equivalent atoms:
Lu: 0.0000 0.0000 0.0000  4 Os 2.88, 4 Cu 2.88
Tl: 0.0000 0.0000 0.5000  4 Os 2.88, 4 Cu 2.88
Cu: 0.2500 0.2500 0.7500  4 Tl 2.88, 4 Lu 2.88
Os: 0.2500 0.2500 0.2500  4 Tl 2.88, 4 Lu 2.88

***

(6)
Here is a relaxed BaMg2InAg crystal from the Open Quantum Materials Database. Energies are from GGA-PBE.

a = 4.7377 Å, b = 4.7377 Å, c = 12.7037 Å
α = 90.00°, β = 90.00°, γ = 90.00°
Closest atoms and distances in Å follow each position.
Space group I4mm (No. 107)
One atom of each set of equivalent atoms:
Ba: 0.0000 0.0000 0.0000  4 In 3.64, 4 Ag 3.66, 8 Mg 3.90-4.02
Mg: 0.0000 0.5000 0.2559  2 Ag 2.88, 2 In 2.99
In: 0.0000 0.0000 0.6127  1 Ag 2.90, 4 Mg 2.99
Ag: 0.0000 0.0000 0.3847  4 Mg 2.88, 1 In 2.90

***

(7)
Here is a relaxed LiSmSb crystal from the Open Quantum Materials Database. Energies are from GGA-PBE.

Computed properties:
Magnetic moment (μB/f.u.): 0.01
ΔE to the lowest computed polymorph (meV per atom): 0

a = 4.3641 Å, b = 4.3641 Å, c = 7.6351 Å
α = 90.00°, β = 90.00°, γ = 90.00°
Closest atoms and distances in Å follow each position.
Space group P4/nmm (No. 129, origin choice 2)
One atom of each set of equivalent atoms:
Li: 0.2500 0.7500 0.0000  4 Sb 2.82, 4 Li 3.09
Sm: 0.2500 0.2500 0.3475  5 Sb 3.19-3.20, 4 Li 3.44
Sb: 0.2500 0.2500 0.7652  4 Li 2.82

***

(8)
Here is a relaxed KCoAuSe2S crystal from the Open Quantum Materials Database. Energies are from GGA-PBE.

Computed properties:
Magnetic moment (μB/f.u.): 0.01

a = 3.6199 Å, b = 15.4876 Å, c = 9.9492 Å
α = 90.00°, β = 90.00°, γ = 90.00°
Closest atoms and distances in Å follow each position.
Space group Cmcm (No. 63)
One atom of each set of equivalent atoms:
K: 0.0000 0.2330 0.2500  2 Se 3.24, 2 Au 3.34, 2 S 3.43, 2 K 3.62
Co: 0.0000 0.5000 0.0000  4 Se 2.41, 2 S 2.58
Au: 0.0000 0.0860 0.7500  2 Se 2.45, 2 S 2.71
Se: 0.0000 0.1030 0.5052  2 Co 2.41, 1 Au 2.45
S: 0.0000 0.4555 0.7500  2 Co 2.58, 2 Au 2.71

***

(9)
Here is a relaxed UHgMo crystal from the Open Quantum Materials Database. Energies are from GGA-PBE.

Computed properties:
Magnetic moment (μB/f.u.): 0.16
Formation enthalpy at 0 K (eV per formula unit): 3.8

a = 6.6322 Å, b = 6.6322 Å, c = 6.6322 Å
α = 90.00°, β = 90.00°, γ = 90.00°
Closest atoms and distances in Å follow each position.
Space group F-43m (No. 216)
One atom of each set of equivalent atoms:
U: 0.0000 0.0000 0.0000  4 Mo 2.87, 4 Hg 2.87
Hg: 0.2500 0.2500 0.7500  4 U 2.87
Mo: 0.2500 0.2500 0.2500  4 U 2.87

***

(10)
Here is a relaxed KZrGe2O6 crystal from the Open Quantum Materials Database. Energies are from GGA-PBE.

Computed properties:
Magnetic moment (μB/f.u.): 0.00

a = 10.2768 Å, b = 9.6170 Å, c = 5.8072 Å
α = 90.00°, β = 105.00°, γ = 90.00°
Closest atoms and distances in Å follow each position.
Space group C2/c (No. 15)
One atom of each set of equivalent atoms:
K: 0.0000 0.1845 0.2500  8 O 2.70-2.83
Zr: 0.0000 0.4019 0.7500  6 O 2.03-2.23
Ge: 0.2082 0.0924 0.7897  4 O 1.81-1.84
O: 0.1071 0.4245 0.1213  1 Ge 1.84
O: 0.1450 0.2670 0.7134  1 Ge 1.81, 1 Zr 2.03
O: 0.1467 0.0153 0.0266  2 Ge 1.81-1.82

***

(11)
Here is a relaxed Al10W3 crystal from the Open Quantum Materials Database. Energies are from GGA-PBE.

Computed properties:
Magnetic moment (μB/f.u.): 0.00
ΔE to the lowest computed polymorph (meV per atom): 80

a = 5.2076 Å, b = 5.2076 Å, c = 26.6350 Å
α = 90.00°, β = 90.00°, γ = 120.00°
Closest atoms and distances in Å follow each position.
Space group R-3m (No. 166, hexagonal axes)
One atom of each set of equivalent atoms:
Al: 0.0000 0.0000 0.0469  1 Al 2.50, 1 W 2.60
Al: 0.0000 0.0000 0.3329  9 Al 2.85-3.01
Al: 0.0082 0.5041 0.9078  1 W 2.51, 4 Al 2.54-2.67
W: 0.0000 0.0000 0.1445  1 Al 2.60
W: 0.0000 0.0000 0.5000  6 Al 2.51

***

(12)
Here is a relaxed Sr2PrMg3Tl2Cd crystal from the Open Quantum Materials Database. Energies are from GGA-PBE.

Computed properties:
Magnetic moment (μB/f.u.): 0.00

a = 4.8641 Å, b = 13.7955 Å, c = 7.9507 Å
α = 90.00°, β = 90.00°, γ = 90.00°
Closest atoms and distances in Å follow each position.
Space group Amm2 (No. 38)
One atom of each set of equivalent atoms:
Sr: 0.0000 0.2109 0.0000  1 Cd 3.38, 4 Tl 3.43-3.44, 2 Mg 3.67
Pr: 0.0000 0.0000 0.6317  1 Cd 3.31, 4 Tl 3.34, 2 Mg 3.65
Mg: 0.5000 0.0000 0.9742  2 Tl 3.07, 2 Cd 3.10, 2 Mg 3.25
Mg: 0.5000 0.1154 0.3299  2 Cd 3.05, 2 Tl 3.06-3.25, 2 Mg 3.18-3.25
Tl: 0.5000 0.1600 0.7064  3 Mg 3.06-3.25, 2 Pr 3.34
Cd: 0.0000 0.0000 0.2153  6 Mg 3.05-3.10, 1 Pr 3.31, 2 Sr 3.38

***

Record order is preserved below.
Total energy: -2.908, -3.920, -7.742, -5.485, -5.262, -2.370, -4.457, -3.979, -6.204, -6.901, -5.755, -2.334 eV/atom